No. 1
DFT (PBE-GGA) results for an optimized crystal structure of PaBeNb2C4.

Cell lengths 3.2228, 5.5340, 10.7775 Å; angles 90.00, 90.00, 106.93 degrees
Sites, in units of the cell vectors:
C  0.2718  0.5437  0.3776
C  0.2718  0.5437  0.1224
C  0.0000  0.0000  0.5000
C  0.7282  0.4563  0.8776
C  0.0000  0.0000  0.0000
C  0.7282  0.4563  0.6224
C  0.4338  0.8675  0.7500
C  0.5662  0.1325  0.2500
Be  0.1607  0.3214  0.2500
Be  0.8393  0.6786  0.7500
Pa  0.8929  0.7859  0.2500
Pa  0.1071  0.2141  0.7500
Nb  0.3681  0.7362  0.9483
Nb  0.6319  0.2638  0.4483
Nb  0.3681  0.7362  0.5517
Nb  0.6319  0.2638  0.0517

Formation enthalpy at 0 K   -0.388 eV/atom



No. 2
DFT (PBE-GGA) results for an optimized crystal structure of RbBe2NbC.

Cell lengths 3.7948, 3.7948, 5.5839 Å; angles 90.00, 90.00, 90.00 degrees
Sites, in units of the cell vectors:
Be  0.5000  0.0000  0.0000
Be  0.0000  0.5000  0.0000
Nb  0.5000  0.5000  0.5000
Rb  0.0000  0.0000  0.5000
C  0.0000  0.0000  0.0000

Formation enthalpy at 0 K   1.821 eV/atom



No. 3
DFT (PBE-GGA) results for an optimized crystal structure of BeNb2SiC.

Cell lengths 4.4189, 3.6461, 4.4189 Å; angles 90.00, 90.00, 90.00 degrees
Sites, in units of the cell vectors:
Si  0.0000  0.5000  0.0000
Nb  0.5000  0.0000  0.0000
Nb  0.0000  0.0000  0.5000
Be  0.0000  0.0000  0.0000
C  0.5000  0.5000  0.5000

Energy relative to the elements, uncorrected   1.236 eV per atom



No. 4
DFT (PBE-GGA) results for an optimized crystal structure of SrBe2NbC.

Cell lengths 4.1830, 4.3961, 4.1830 Å; angles 90.00, 90.00, 90.00 degrees
Sites, in units of the cell vectors:
Nb  0.0000  0.5000  0.0000
Be  0.5000  0.0000  0.0000
Be  0.0000  0.0000  0.5000
Sr  0.5000  0.5000  0.5000
C  0.0000  0.0000  0.0000

Formation enthalpy at 0 K   0.891 eV/atom



No. 5
DFT (PBE-GGA) results for an optimized crystal structure of TiBeNbC2.

Cell lengths 3.7183, 3.9161, 3.7183 Å; angles 90.00, 90.00, 90.00 degrees
Sites, in units of the cell vectors:
Be  0.0000  0.0000  0.0000
Ti  0.0000  0.5000  0.0000
Nb  0.5000  0.5000  0.5000
C  0.5000  0.0000  0.0000
C  0.0000  0.0000  0.5000

Formation enthalpy at 0 K   1.476 eV/atom



No. 6
DFT (PBE-GGA) results for an optimized crystal structure of ZrBeNb2C.

Cell lengths 4.7050, 3.3181, 4.7050 Å; angles 90.00, 90.00, 90.00 degrees
Sites, in units of the cell vectors:
Be  0.0000  0.0000  0.0000
C  0.0000  0.5000  0.0000
Nb  0.0000  0.0000  0.5000
Nb  0.5000  0.0000  0.0000
Zr  0.5000  0.5000  0.5000

Formation enthalpy at 0 K   0.720 eV/atom



No. 7
DFT (PBE-GGA) results for an optimized crystal structure of Nd3BeC2.

Cell lengths 6.8373, 6.8373, 6.8373 Å; angles 96.81, 112.47, 119.95 degrees
Sites, in units of the cell vectors:
Be  0.5776  0.2500  0.8276
Be  0.4224  0.7500  0.1724
Nd  0.0000  0.2034  0.7034
Nd  0.5000  0.7034  0.7034
Nd  0.0000  0.7966  0.2966
Nd  0.5000  0.2966  0.2966
Nd  0.9684  0.2500  0.2184
Nd  0.0316  0.7500  0.7816
C  0.0000  0.5000  0.0000
C  0.5000  0.0000  0.0000
C  0.3390  0.2500  0.5890
C  0.6610  0.7500  0.4110

Formation enthalpy at 0 K   0.240 eV/atom



No. 8
DFT (PBE-GGA) results for an optimized crystal structure of Nd2BeC.

Cell lengths 3.4551, 7.3582, 7.3400 Å; angles 104.58, 103.61, 90.00 degrees
Sites, in units of the cell vectors:
Nd  0.8719  0.4357  0.7439
Nd  0.1281  0.5643  0.2561
Nd  0.8719  0.9357  0.7439
Nd  0.1281  0.0643  0.2561
Be  0.4999  0.7500  0.0000
Be  0.5001  0.2500  0.0000
C  0.0001  0.2500  0.0000
C  0.9999  0.7500  0.0000

Formation enthalpy at 0 K   -0.111 eV/atom



No. 9
DFT (PBE-GGA) results for an optimized crystal structure of Nd2Be2Os2C.

Cell lengths 3.9131, 5.6985, 6.0819 Å; angles 72.86, 71.23, 69.92 degrees
Sites, in units of the cell vectors:
Nd  0.5774  0.1637  0.6815
Nd  0.4226  0.8363  0.3185
Be  0.8512  0.5942  0.7033
Be  0.1488  0.4058  0.2967
Os  0.7949  0.3307  0.0796
Os  0.2051  0.6693  0.9204
C  0.0000  0.0000  0.0000

Formation enthalpy at 0 K   -0.210 eV/atom



No. 10
DFT (PBE-GGA) results for an optimized crystal structure of NdBe2Ru2C.

Cell lengths 4.0303, 4.0303, 5.2467 Å; angles 90.00, 90.00, 90.00 degrees
Sites, in units of the cell vectors:
Be  0.5000  0.5000  0.7470
Be  0.5000  0.5000  0.2530
Ru  0.0000  0.5000  0.0000
Ru  0.5000  0.0000  0.0000
C  0.0000  0.0000  0.0000
Nd  0.0000  0.0000  0.5000

Formation enthalpy at 0 K   -0.268 eV/atom



No. 11
DFT (PBE-GGA) results for an optimized crystal structure of BeNiC2.

Cell lengths 4.2099, 4.2099, 5.2523 Å; angles 66.37, 66.37, 90.00 degrees
Sites, in units of the cell vectors:
Be  0.2500  0.7500  0.5000
Be  0.5000  0.5000  0.0000
C  0.1259  0.6250  0.2500
C  0.6241  0.1250  0.2500
C  0.3750  0.3759  0.7500
C  0.8750  0.8741  0.7500
Ni  0.7500  0.2500  0.5000
Ni  0.0000  0.0000  0.0000

Formation enthalpy at 0 K   1.116 eV/atom



No. 12
DFT (PBE-GGA) results for an optimized crystal structure of Be2NiC.

Cell lengths 3.5509, 3.5509, 6.2878 Å; angles 73.60, 73.60, 90.00 degrees
Sites, in units of the cell vectors:
C  0.5000  0.5000  0.0000
C  0.2500  0.7500  0.5000
Be  0.5018  0.1250  0.2500
Be  0.3750  0.4982  0.7500
Be  0.8750  0.7518  0.7500
Be  0.2482  0.6250  0.2500
Ni  0.0000  0.0000  0.0000
Ni  0.7500  0.2500  0.5000

Formation enthalpy at 0 K   0.608 eV/atom



No. 13
DFT (PBE-GGA) results for an optimized crystal structure of PaBeNiC.

Cell lengths 3.6161, 3.6161, 7.9461 Å; angles 90.00, 90.00, 90.00 degrees
Sites, in units of the cell vectors:
C  0.5000  0.0000  0.8728
C  0.0000  0.5000  0.1272
Be  0.5000  0.0000  0.6541
Be  0.0000  0.5000  0.3459
Ni  0.0000  0.0000  0.5000
Ni  0.5000  0.5000  0.5000
Pa  0.0000  0.5000  0.8321
Pa  0.5000  0.0000  0.1679

Formation enthalpy at 0 K   -0.375 eV/atom



No. 14
DFT (PBE-GGA) results for an optimized crystal structure of BeNiPb2C.

Cell lengths 5.3562, 3.4910, 5.3562 Å; angles 90.00, 90.00, 90.00 degrees
Sites, in units of the cell vectors:
Ni  0.0000  0.0000  0.0000
C  0.0000  0.5000  0.0000
Be  0.5000  0.5000  0.5000
Pb  0.5000  0.0000  0.0000
Pb  0.0000  0.0000  0.5000

Formation enthalpy at 0 K   0.937 eV/atom



No. 15
DFT (PBE-GGA) results for an optimized crystal structure of BeNiPdC2.

Cell lengths 3.5620, 4.2501, 3.5620 Å; angles 90.00, 90.00, 90.00 degrees
Sites, in units of the cell vectors:
Ni  0.5000  0.5000  0.5000
C  0.5000  0.0000  0.0000
C  0.0000  0.0000  0.5000
Be  0.0000  0.0000  0.0000
Pd  0.0000  0.5000  0.0000

Formation enthalpy at 0 K   1.739 eV/atom
Energy above the lowest structure with this stoichiometry   0 meV per atom



No. 16
DFT (PBE-GGA) results for an optimized crystal structure of BeNiPdC2.

Cell lengths 3.8284, 4.9011, 3.8284 Å; angles 90.00, 90.00, 90.00 degrees
Sites, in units of the cell vectors:
Ni  0.0000  0.5000  0.0000
Be  0.5000  0.5000  0.5000
Pd  0.0000  0.0000  0.0000
C  0.5000  0.0000  0.0000
C  0.0000  0.0000  0.5000

Formation enthalpy at 0 K   2.184 eV/atom
Energy above the lowest structure with this stoichiometry   445 meV per atom



No. 17
DFT (PBE-GGA) results for an optimized crystal structure of Be2NiPdC.

Cell lengths 3.6322, 3.7333, 3.6322 Å; angles 90.00, 90.00, 90.00 degrees
Sites, in units of the cell vectors:
Be  0.5000  0.0000  0.0000
Be  0.0000  0.0000  0.5000
C  0.0000  0.0000  0.0000
Pd  0.5000  0.5000  0.5000
Ni  0.0000  0.5000  0.0000

Formation enthalpy at 0 K   -0.020 eV/atom



No. 18
DFT (PBE-GGA) results for an optimized crystal structure of Sc2BeNiC.

Cell lengths 4.5313, 4.5313, 3.3852 Å; angles 90.00, 90.00, 90.00 degrees
Sites, in units of the cell vectors:
Be  0.0000  0.0000  0.5000
Sc  0.0000  0.5000  0.0000
Sc  0.5000  0.0000  0.0000
Ni  0.5000  0.5000  0.5000
C  0.0000  0.0000  0.0000

Formation enthalpy at 0 K   -0.344 eV/atom



No. 19
DFT (PBE-GGA) results for an optimized crystal structure of ScBeNiC.

Cell lengths 3.3428, 3.3428, 8.4415 Å; angles 90.00, 90.00, 90.00 degrees
Sites, in units of the cell vectors:
Be  0.0000  0.5000  0.3289
Be  0.5000  0.0000  0.6711
Sc  0.0000  0.5000  0.8634
Sc  0.5000  0.0000  0.1366
C  0.0000  0.5000  0.1319
C  0.5000  0.0000  0.8681
Ni  0.0000  0.0000  0.5000
Ni  0.5000  0.5000  0.5000

Formation enthalpy at 0 K   -0.239 eV/atom



No. 20
DFT (PBE-GGA) results for an optimized crystal structure of SmBeNiC.

Cell lengths 3.6647, 3.6647, 8.2502 Å; angles 90.00, 90.00, 90.00 degrees
Sites, in units of the cell vectors:
C  0.0000  0.5000  0.1436
C  0.5000  0.0000  0.8564
Ni  0.5000  0.5000  0.5000
Ni  0.0000  0.0000  0.5000
Be  0.0000  0.5000  0.3484
Be  0.5000  0.0000  0.6516
Sm  0.0000  0.5000  0.8382
Sm  0.5000  0.0000  0.1618

Formation enthalpy at 0 K   -0.131 eV/atom



No. 21
DFT (PBE-GGA) results for an optimized crystal structure of SrBeNi2C.

Cell lengths 3.8514, 5.2042, 3.8514 Å; angles 90.00, 90.00, 90.00 degrees
Sites, in units of the cell vectors:
Ni  0.5000  0.0000  0.0000
Ni  0.0000  0.0000  0.5000
Be  0.5000  0.5000  0.5000
Sr  0.0000  0.5000  0.0000
C  0.0000  0.0000  0.0000

Formation enthalpy at 0 K   0.697 eV/atom



No. 22
DFT (PBE-GGA) results for an optimized crystal structure of TbBeNiC.

Cell lengths 3.5913, 3.5913, 8.2554 Å; angles 90.00, 90.00, 90.00 degrees
Sites, in units of the cell vectors:
Ni  0.5000  0.5000  0.5000
Ni  0.0000  0.0000  0.5000
Be  0.5000  0.0000  0.6559
Be  0.0000  0.5000  0.3441
Tb  0.5000  0.0000  0.1576
Tb  0.0000  0.5000  0.8424
C  0.5000  0.0000  0.8594
C  0.0000  0.5000  0.1406

Formation enthalpy at 0 K   -0.197 eV/atom



No. 23
DFT (PBE-GGA) results for an optimized crystal structure of BeTc2NiC.

Cell lengths 4.6311, 3.3773, 4.6311 Å; angles 90.00, 90.00, 90.00 degrees
Sites, in units of the cell vectors:
Be  0.5000  0.5000  0.5000
Ni  0.0000  0.0000  0.0000
C  0.0000  0.5000  0.0000
Tc  0.5000  0.0000  0.0000
Tc  0.0000  0.0000  0.5000

Formation enthalpy at 0 K   1.689 eV/atom



No. 24
DFT (PBE-GGA) results for an optimized crystal structure of Ti2BeNiC.

Cell lengths 4.1982, 3.3445, 4.1982 Å; angles 90.00, 90.00, 90.00 degrees
Sites, in units of the cell vectors:
Ni  0.5000  0.5000  0.5000
C  0.0000  0.0000  0.0000
Ti  0.0000  0.0000  0.5000
Ti  0.5000  0.0000  0.0000
Be  0.0000  0.5000  0.0000

Formation enthalpy at 0 K   -0.370 eV/atom



No. 25
DFT (PBE-GGA) results for an optimized crystal structure of ZrBeNiC.

Cell lengths 3.3787, 3.3787, 8.2034 Å; angles 90.00, 90.00, 90.00 degrees
Sites, in units of the cell vectors:
Zr  0.0000  0.5000  0.8559
Zr  0.5000  0.0000  0.1441
Ni  0.5000  0.5000  0.5000
Ni  0.0000  0.0000  0.5000
Be  0.0000  0.5000  0.3347
Be  0.5000  0.0000  0.6653
C  0.0000  0.5000  0.1272
C  0.5000  0.0000  0.8728

Formation enthalpy at 0 K   -0.432 eV/atom



No. 26
DFT (PBE-GGA) results for an optimized crystal structure of Zr2BeNiC.

Cell lengths 4.5881, 4.5881, 3.3848 Å; angles 90.00, 90.00, 90.00 degrees
Sites, in units of the cell vectors:
Be  0.0000  0.0000  0.5000
Zr  0.5000  0.0000  0.0000
Zr  0.0000  0.5000  0.0000
C  0.0000  0.0000  0.0000
Ni  0.5000  0.5000  0.5000

Formation enthalpy at 0 K   -0.348 eV/atom